DyTm2Cd3InGa2 | PBE | optimized geometry

Its total magnetization is 0.00 μB/f.u. The energy is -3.246 eV per atom.

It has space group Amm2 (No. 38), with a = 4.4886 Å, b = 12.6032 Å, c = 7.2681 Å, α = 90.00°, β = 90.00° and γ = 90.00°. Symmetry generates all atoms from Dy at (0.0000, 0.0000, 0.0000), Tm at (0.0000, 0.2188, 0.3437), Cd at (0.5000, 0.0000, 0.3072), Cd at (0.5000, 0.1278, 0.6903), In at (0.0000, 0.0000, 0.5622) and Ga at (0.5000, 0.1669, 0.0625).

=====

NaPmIr | PBE | optimized geometry

Its total magnetization is 0.00 μB/f.u. Its energy relative to the lowest polymorph listed for this composition is 384 meV/atom.

It has space group F-43m (No. 216), with a = 6.7377 Å, b = 6.7377 Å, c = 6.7377 Å, α = 90.00°, β = 90.00° and γ = 90.00°. Symmetry generates all atoms from Na at (0.0000, 0.0000, 0.0000), Pm at (0.2500, 0.2500, 0.7500) and Ir at (0.0000, 0.0000, 0.5000).

=====

Li4CdPdPb2 | PBE | optimized geometry

The energy is -2.996 eV per atom.

It has space group P-4m2 (No. 115), with a = 4.6854 Å, b = 4.6854 Å, c = 6.8080 Å, α = 90.00°, β = 90.00° and γ = 90.00°. Symmetry generates all atoms from Li at (0.0000, 0.0000, 0.0000), Li at (0.0000, 0.5000, 0.2314), Li at (0.5000, 0.5000, 0.5000), Cd at (0.0000, 0.0000, 0.5000), Pd at (0.5000, 0.5000, 0.0000) and Pb at (0.0000, 0.5000, 0.7694).

=====

CsZnIrSe3 | PBE | optimized geometry

Its total magnetization is 0.00 μB/f.u. The energy is -4.128 eV per atom.

It has space group Cmcm (No. 63), with a = 3.9828 Å, b = 15.9161 Å, c = 10.0372 Å, α = 90.00°, β = 90.00° and γ = 90.00°. Symmetry generates all atoms from Cs at (0.0000, 0.2456, 0.2500), Zn at (0.0000, 0.4631, 0.7500), Ir at (0.0000, 0.0000, 0.0000), Se at (0.0000, 0.0568, 0.7500) and Se at (0.0000, 0.3985, 0.5318).

=====

PdPb4Au | PBE | optimized geometry

The energy is -4.019 eV per atom.

It has space group I422 (No. 97), with a = 7.1736 Å, b = 7.1736 Å, c = 5.9243 Å, α = 90.00°, β = 90.00° and γ = 90.00°. Symmetry generates all atoms from Pd at (0.0000, 0.0000, 0.0000), Pb at (0.1614, 0.3386, 0.2500) and Au at (0.0000, 0.0000, 0.5000).

=====

Cu2Se3S | PBE | optimized geometry

Its energy relative to the lowest polymorph listed for this composition is 162 meV/atom.

It has space group Pm (No. 6), with a = 5.8652 Å, b = 3.6796 Å, c = 6.4684 Å, α = 90.00°, β = 93.77° and γ = 90.00°. Symmetry generates all atoms from Cu at (0.0000, 0.0000, 0.0000), Cu at (0.3906, 0.5000, 0.3906), Se at (0.3262, 0.0000, 0.6208), Se at (0.6622, 0.0000, 0.4163), Se at (0.8622, 0.5000, 0.8068) and S at (0.0587, 0.5000, 0.1890).

=====

ZrNbCoSn | PBE | optimized geometry

Its total magnetization is 2.09 μB/f.u. Its energy relative to the lowest polymorph listed for this composition is 0 meV/atom.

It has space group F-43m (No. 216), with a = 6.5938 Å, b = 6.5938 Å, c = 6.5938 Å, α = 90.00°, β = 90.00° and γ = 90.00°. Symmetry generates all atoms from Zr at (0.0000, 0.0000, 0.0000), Nb at (0.2500, 0.2500, 0.2500), Co at (0.2500, 0.2500, 0.7500) and Sn at (0.0000, 0.0000, 0.5000).

=====

TaZnPO | PBE | optimized geometry

Its total magnetization is 0.00 μB/f.u. The energy is -6.724 eV per atom.

It has space group P4/nmm (No. 129, origin choice 2), with a = 3.3645 Å, b = 3.3645 Å, c = 10.0600 Å, α = 90.00°, β = 90.00° and γ = 90.00°. Symmetry generates all atoms from Ta at (0.2500, 0.2500, 0.1344), Zn at (0.2500, 0.7500, 0.5000), P at (0.2500, 0.2500, 0.7495) and O at (0.2500, 0.7500, 0.0000).

=====

Nd2Ga3Si | PBE | optimized geometry

Its total magnetization is 0.00 μB/f.u. The energy is -4.719 eV per atom.

It has space group Fmmm (No. 69), with a = 8.4267 Å, b = 8.5492 Å, c = 14.5810 Å, α = 90.00°, β = 90.00° and γ = 90.00°. Symmetry generates all atoms from Nd at (0.0000, 0.2469, 0.0000), Nd at (0.2500, 0.2500, 0.2500), Ga at (0.0000, 0.0000, 0.3323), Ga at (0.2490, 0.0000, 0.0841) and Si at (0.0000, 0.0000, 0.1669).

=====

MgCdSi2As4 | PBE | optimized geometry

The energy is -4.212 eV per atom.

It has space group I-4 (No. 82), with a = 5.9404 Å, b = 5.9404 Å, c = 11.0284 Å, α = 90.00°, β = 90.00° and γ = 90.00°. Symmetry generates all atoms from Mg at (0.0000, 0.0000, 0.0000), Cd at (0.0000, 0.5000, 0.7500), Si at (0.0000, 0.0000, 0.5000), Si at (0.0000, 0.5000, 0.2500) and As at (0.2129, 0.7460, 0.3772).

=====

YFeSnPt | PBE | optimized geometry

Its total magnetization is 2.89 μB/f.u. Its energy relative to the lowest polymorph listed for this composition is 173 meV/atom.

It has space group F-43m (No. 216), with a = 6.7133 Å, b = 6.7133 Å, c = 6.7133 Å, α = 90.00°, β = 90.00° and γ = 90.00°. Symmetry generates all atoms from Y at (0.0000, 0.0000, 0.0000), Fe at (0.0000, 0.0000, 0.5000), Sn at (0.2500, 0.2500, 0.2500) and Pt at (0.2500, 0.2500, 0.7500).

=====

SrBPt | PBE | optimized geometry

Its total magnetization is 0.00 μB/f.u. Its energy relative to the lowest polymorph listed for this composition is 0 meV/atom.

It has space group F-43m (No. 216), with a = 6.1954 Å, b = 6.1954 Å, c = 6.1954 Å, α = 90.00°, β = 90.00° and γ = 90.00°. Symmetry generates all atoms from Sr at (0.0000, 0.0000, 0.0000), B at (0.2500, 0.2500, 0.7500) and Pt at (0.0000, 0.0000, 0.5000).